# Nd3Dy4Mg

Nd3Dy4Mg after structural relaxation (PBE, Alexandria via LeMat-Bulk).

a = 4.970 Å, b = 5.033 Å, c = 10.793 Å
α = 103.47°, β = 103.31°, γ = 90.00°
Fractional coordinates of all 8 atoms:
1 Mg 0.500 0.000 0.000
2 Dy 0.752 0.252 0.504
3 Nd 0.000 0.500 0.000
4 Dy 0.626 0.626 0.252
5 Nd 0.875 0.875 0.751
6 Nd 0.125 0.125 0.249
7 Dy 0.374 0.374 0.748
8 Dy 0.248 0.748 0.496

- calculated volume (Å³ per cell) = 255
- ρ (g/cm³) = 7.21
- distance to the lowest polymorph of the same formula (meV/atom) = 13
- energy relative to the elements (eV per atom) = 0.016

# NdDy6Mg

NdDy6Mg after structural relaxation (PBE, Alexandria via LeMat-Bulk).

a = 5.011 Å, b = 6.112 Å, c = 9.285 Å
α = 76.84°, β = 74.34°, γ = 65.80°
Fractional coordinates of all 8 atoms:
1 Dy 0.245 0.387 0.123
2 Mg 0.000 0.000 0.000
3 Dy 0.751 0.128 0.371
4 Nd 0.000 0.500 0.500
5 Dy 0.497 0.757 0.248
6 Dy 0.249 0.872 0.629
7 Dy 0.755 0.613 0.877
8 Dy 0.503 0.243 0.752

- calculated volume (Å³ per cell) = 248
- ρ (g/cm³) = 7.67
- distance to the lowest polymorph of the same formula (meV/atom) = 0
- energy relative to the elements (eV per atom) = 0.029

# Nd4DyMg

Nd4DyMg after structural relaxation (PBE, Alexandria via LeMat-Bulk).

a = 8.961 Å, b = 6.584 Å, c = 8.555 Å
α = 109.13°, β = 118.80°, γ = 96.26°
Fractional coordinates of all 12 atoms:
1 Nd 0.099 0.367 0.369
2 Nd 0.633 0.358 0.107
3 Nd 0.901 0.633 0.631
4 Mg 0.406 0.656 0.313
5 Nd 0.026 0.251 0.893
6 Nd 0.770 0.001 0.369
7 Nd 0.974 0.749 0.107
8 Nd 0.230 0.999 0.631
9 Dy 0.352 0.102 0.205
10 Mg 0.594 0.344 0.687
11 Dy 0.648 0.898 0.795
12 Nd 0.367 0.642 0.893

- calculated volume (Å³ per cell) = 396
- ρ (g/cm³) = 6.41
- distance to the lowest polymorph of the same formula (meV/atom) = 81
- energy relative to the elements (eV per atom) = 0.059

# Nd8Dy4Mg

Nd8Dy4Mg after structural relaxation (PBE, Alexandria via LeMat-Bulk).

a = 7.199 Å, b = 7.199 Å, c = 10.857 Å
α = 90.00°, β = 109.36°, γ = 120.00°
Fractional coordinates of all 13 atoms:
1 Dy 0.500 0.000 0.000
2 Nd 0.974 0.745 0.719
3 Nd 0.026 0.255 0.281
4 Nd 0.440 0.220 0.659
5 Dy 0.500 0.500 0.000
6 Nd 0.026 0.771 0.281
7 Mg 0.000 0.500 0.500
8 Nd 0.560 0.780 0.341
9 Nd 0.510 0.255 0.281
10 Dy 0.000 0.000 0.000
11 Nd 0.490 0.745 0.719
12 Dy 0.000 0.500 0.000
13 Nd 0.974 0.229 0.719

- calculated volume (Å³ per cell) = 450
- ρ (g/cm³) = 6.74
- energy relative to the elements (eV per atom) = 0.164

# Nd8DyMg2

Nd8DyMg2 after structural relaxation (PBE, Alexandria via LeMat-Bulk).

a = 5.176 Å, b = 8.244 Å, c = 9.324 Å
α = 107.89°, β = 106.12°, γ = 90.00°
Fractional coordinates of all 11 atoms:
1 Nd 0.050 0.734 0.100
2 Nd 0.316 0.064 0.632
3 Nd 0.141 0.197 0.281
4 Mg 0.773 0.367 0.546
5 Nd 0.859 0.803 0.719
6 Nd 0.405 0.540 0.811
7 Nd 0.684 0.936 0.368
8 Mg 0.227 0.633 0.454
9 Nd 0.950 0.266 0.900
10 Dy 0.500 0.000 0.000
11 Nd 0.595 0.460 0.189

- calculated volume (Å³ per cell) = 362
- ρ (g/cm³) = 6.26
- distance to the lowest polymorph of the same formula (meV/atom) = 0
- energy relative to the elements (eV per atom) = 0.007

# Nd2DyMg

Nd2DyMg after structural relaxation (PBE, Alexandria via LeMat-Bulk).

a = 3.554 Å, b = 3.492 Å, c = 10.485 Å
α = 99.59°, β = 90.00°, γ = 90.00°
Fractional coordinates of all 4 atoms:
1 Dy 0.000 0.310 0.620
2 Mg 0.000 0.071 0.142
3 Nd 0.500 0.458 0.915
4 Nd 0.500 0.687 0.373

- calculated volume (Å³ per cell) = 128
- ρ (g/cm³) = 6.15
- distance to the lowest polymorph of the same formula (meV/atom) = 119
- energy relative to the elements (eV per atom) = 0.087

# NdDy8Mg2

NdDy8Mg2 after structural relaxation (PBE, Alexandria via LeMat-Bulk).

a = 5.678 Å, b = 8.732 Å, c = 8.877 Å
α = 60.54°, β = 77.74°, γ = 64.41°
Fractional coordinates of all 11 atoms:
1 Dy 0.868 0.322 0.775
2 Dy 0.868 0.097 0.225
3 Dy 0.500 0.215 0.571
4 Dy 0.500 0.785 0.429
5 Mg 0.000 0.307 0.386
6 Dy 0.296 0.409 0.000
7 Nd 0.500 0.000 0.000
8 Mg 0.000 0.693 0.614
9 Dy 0.132 0.903 0.775
10 Dy 0.132 0.678 0.225
11 Dy 0.704 0.591 0.000

- calculated volume (Å³ per cell) = 346
- ρ (g/cm³) = 7.17
- energy relative to the elements (eV per atom) = 0.144

# Nd2Dy6Mg

Nd2Dy6Mg after structural relaxation (PBE, Alexandria via LeMat-Bulk).

a = 5.042 Å, b = 10.597 Å, c = 10.596 Å
α = 90.00°, β = 90.00°, γ = 90.00°
Fractional coordinates of all 18 atoms:
1 Dy 0.500 0.501 0.666
2 Nd 0.000 0.335 0.836
3 Nd 0.500 0.835 0.664
4 Nd 0.000 0.665 0.164
5 Nd 0.500 0.165 0.336
6 Dy 0.500 0.499 0.334
7 Dy 0.500 0.168 0.668
8 Dy 0.500 0.834 0.999
9 Mg 0.500 0.500 0.000
10 Dy 0.000 0.668 0.832
11 Mg 0.000 0.000 0.500
12 Dy 0.500 0.166 0.001
13 Dy 0.000 0.666 0.499
14 Dy 0.000 0.332 0.168
15 Dy 0.500 0.832 0.332
16 Dy 0.000 0.999 0.166
17 Dy 0.000 0.001 0.834
18 Dy 0.000 0.334 0.501

- calculated volume (Å³ per cell) = 566
- ρ (g/cm³) = 7.56
- distance to the lowest polymorph of the same formula (meV/atom) = 0
- energy relative to the elements (eV per atom) = 0.023

# Nd2DyMg3

Nd2DyMg3 after structural relaxation (PBE, Alexandria via LeMat-Bulk).

a = 3.848 Å, b = 3.848 Å, c = 11.597 Å
α = 90.00°, β = 90.00°, γ = 90.00°
Fractional coordinates of all 6 atoms:
1 Mg 0.000 0.000 0.000
2 Dy 0.500 0.500 0.500
3 Nd 0.500 0.500 0.171
4 Mg 0.000 0.000 0.659
5 Nd 0.500 0.500 0.829
6 Mg 0.000 0.000 0.341

- calculated volume (Å³ per cell) = 172
- ρ (g/cm³) = 5.07
- energy relative to the elements (eV per atom) = -0.099

# Nd14DyMg

Nd14DyMg after structural relaxation (PBE, Alexandria via LeMat-Bulk).

a = 7.277 Å, b = 7.277 Å, c = 10.335 Å
α = 90.00°, β = 90.00°, γ = 89.99°
Fractional coordinates of all 16 atoms:
1 Dy 0.375 0.625 0.000
2 Nd 0.125 0.375 0.247
3 Nd 0.625 0.875 0.247
4 Nd 0.125 0.375 0.753
5 Nd 0.125 0.875 0.754
6 Nd 0.375 0.625 0.500
7 Nd 0.375 0.125 0.500
8 Nd 0.625 0.375 0.753
9 Mg 0.875 0.125 0.000
10 Nd 0.875 0.625 0.500
11 Nd 0.875 0.125 0.500
12 Nd 0.125 0.875 0.246
13 Nd 0.376 0.125 0.000
14 Nd 0.625 0.375 0.247
15 Nd 0.625 0.875 0.753
16 Nd 0.875 0.624 0.000

- calculated volume (Å³ per cell) = 547
- ρ (g/cm³) = 6.69
- energy relative to the elements (eV per atom) = 0.007

# Nd8Dy5Mg

Nd8Dy5Mg after structural relaxation (PBE, Alexandria via LeMat-Bulk).

a = 8.601 Å, b = 8.601 Å, c = 8.601 Å
α = 105.75°, β = 117.21°, γ = 105.75°
Fractional coordinates of all 14 atoms:
1 Dy 0.020 0.970 0.243
2 Nd 0.572 0.332 0.909
3 Nd 0.037 0.072 0.639
4 Nd 0.091 0.664 0.423
5 Nd 0.759 0.336 0.428
6 Nd 0.035 0.602 0.963
7 Dy 0.950 0.223 0.980
8 Nd 0.568 0.928 0.966
9 Dy 0.273 0.030 0.050
10 Dy 0.500 0.000 0.500
11 Dy 0.757 0.777 0.727
12 Mg 0.250 0.500 0.750
13 Nd 0.577 0.668 0.241
14 Nd 0.361 0.398 0.432

- calculated volume (Å³ per cell) = 483
- ρ (g/cm³) = 6.84
- energy relative to the elements (eV per atom) = 0.232

| no. | DFT total energy (eV per atom) | total magnetic moment (μB/atom) |
| --- | --- | --- |
| 1 | -4.272 | 0.000 |
| 2 | -4.218 | 0.000 |
| 3 | -4.152 | 0.000 |
| 4 | -4.308 | 0.000 |
| 5 | -4.169 | 0.000 |
| 6 | -3.846 | 0.000 |
| 7 | -3.926 | 0.000 |
| 8 | -4.282 | 0.000 |
| 9 | -3.253 | 0.000 |
| 10 | -4.553 | 0.000 |
| 11 | -4.250 | 0.000 |